Density functional theory data (meta-GGA SCAN) for HfZnW2Br at its PBEsol-relaxed geometry.

Summary:
E ... -45.14 eV per atom
Magnetic moment ... 0.0 Bohr magnetons per cell

Lattice parameters (Å, degrees): 4.5639 4.5639 4.7729 90.00 90.00 90.00
Space group P4/mmm (No. 123)
Symmetry-distinct sites (fractional):
1 Hf 0.0000 0.0000 0.0000 x1
2 Zn 0.5000 0.5000 0.0000 x1
3 W 0.0000 0.5000 0.5000 x2
4 Br 0.0000 0.0000 0.5000 x1

---

Density functional theory data (meta-GGA SCAN) for Ba2BeCl at its PBEsol-relaxed geometry.

Summary:
Polymorph energy (0 for the lowest one) ... 0 meV/atom
Magnetic moment ... 3.3 Bohr magnetons per cell

Lattice parameters (Å, degrees): 4.4969 4.4969 23.8946 90.00 90.00 120.00
Space group R-3m (No. 166, hexagonal axes)
Symmetry-distinct sites (fractional):
1 Ba 0.0000 0.0000 0.2486 x6
2 Be 0.0000 0.0000 0.5000 x3
3 Cl 0.0000 0.0000 0.0000 x3

---

Density functional theory data (meta-GGA SCAN) for Na2Ca2Ta3O10 at its PBEsol-relaxed geometry.

Summary:
E ... -20.00 eV per atom
Magnetic moment ... 0.0 Bohr magnetons per cell

Lattice parameters (Å, degrees): 3.9502 3.9502 28.3918 90.00 90.00 90.00
Space group I4/mmm (No. 139)
Symmetry-distinct sites (fractional):
1 Na 0.0000 0.0000 0.2117 x4
2 Ca 0.0000 0.0000 0.0766 x4
3 Ta 0.0000 0.0000 0.3563 x4
4 Ta 0.0000 0.0000 0.5000 x2
5 O 0.0000 0.0000 0.2910 x4
6 O 0.0000 0.0000 0.4310 x4
7 O 0.0000 0.5000 0.0000 x4
8 O 0.0000 0.5000 0.1334 x8

---

Density functional theory data (meta-GGA SCAN) for La2PtAu at its PBEsol-relaxed geometry.

Summary:
Magnetic moment ... 0.0 Bohr magnetons per cell
ΔH_f (0 K) ... -0.9334 eV/atom

Lattice parameters (Å, degrees): 6.9953 6.9953 6.9953 90.00 90.00 90.00
Space group F-43m (No. 216)
Symmetry-distinct sites (fractional):
1 La 0.0000 0.0000 0.0000 x4
2 La 0.2500 0.2500 0.2500 x4
3 Pt 0.2500 0.2500 0.7500 x4
4 Au 0.0000 0.0000 0.5000 x4

---

Density functional theory data (meta-GGA SCAN) for SrCa2P at its PBEsol-relaxed geometry.

Summary:
Magnetic moment ... 1.7 Bohr magnetons per cell
ΔH_f (0 K) ... -0.2479 eV/atom

Lattice parameters (Å, degrees): 4.6380 4.6380 10.4740 90.00 90.00 90.00
Space group I-4m2 (No. 119)
Symmetry-distinct sites (fractional):
1 Sr 0.0000 0.0000 0.0000 x2
2 Ca 0.0000 0.0000 0.5000 x2
3 Ca 0.0000 0.5000 0.2500 x2
4 P 0.0000 0.5000 0.7500 x2

---

Density functional theory data (meta-GGA SCAN) for CuNi2B2 at its PBEsol-relaxed geometry.

Summary:
Magnetic moment ... 0.0 Bohr magnetons per cell
ΔH_f (0 K) ... -0.1507 eV/atom

Lattice parameters (Å, degrees): 5.5842 5.5842 2.6893 90.00 90.00 90.00
Space group P4/mbm (No. 127)
Symmetry-distinct sites (fractional):
1 Cu 0.0000 0.0000 0.0000 x2
2 Ni 0.1638 0.3362 0.5000 x4
3 B 0.1206 0.6206 0.0000 x4

---

Density functional theory data (meta-GGA SCAN) for CdReSi3 at its PBEsol-relaxed geometry.

Summary:
E ... -25.78 eV per atom
Magnetic moment ... 0.0 Bohr magnetons per cell

Lattice parameters (Å, degrees): 4.6986 4.6986 4.6986 90.00 90.00 90.00
Space group Pm-3m (No. 221)
Symmetry-distinct sites (fractional):
1 Cd 0.0000 0.0000 0.0000 x1
2 Re 0.5000 0.5000 0.5000 x1
3 Si 0.0000 0.5000 0.5000 x3

---

Density functional theory data (meta-GGA SCAN) for Na2LiSe2 at its PBEsol-relaxed geometry.

Summary:
E ... -10.95 eV per atom
Magnetic moment ... 1.8 Bohr magnetons per cell

Lattice parameters (Å, degrees): 4.4068 4.4068 12.7398 90.00 90.00 90.00
Space group I4/mmm (No. 139)
Symmetry-distinct sites (fractional):
1 Na 0.0000 0.5000 0.2500 x4
2 Li 0.0000 0.0000 0.0000 x2
3 Se 0.0000 0.0000 0.3906 x4

---

Density functional theory data (meta-GGA SCAN) for IrRh2Br at its PBEsol-relaxed geometry.

Summary:
Polymorph energy (0 for the lowest one) ... 0 meV/atom
Magnetic moment ... 0.0 Bohr magnetons per cell

Lattice parameters (Å, degrees): 2.7303 4.8651 9.1508 90.00 90.00 90.00
Space group Cmmm (No. 65)
Symmetry-distinct sites (fractional):
1 Ir 0.0000 0.0000 0.0000 x2
2 Rh 0.0000 0.5000 0.2439 x4
3 Br 0.0000 0.0000 0.5000 x2

---

Density functional theory data (meta-GGA SCAN) for Y3FeCu at its PBEsol-relaxed geometry.

Summary:
Magnetic moment ... 1.0 Bohr magnetons per cell
ΔH_f (0 K) ... 0.5011 eV/atom

Lattice parameters (Å, degrees): 5.1615 5.1615 5.1615 90.00 90.00 90.00
Space group Pm-3m (No. 221)
Symmetry-distinct sites (fractional):
1 Y 0.0000 0.0000 0.5000 x3
2 Fe 0.5000 0.5000 0.5000 x1
3 Cu 0.0000 0.0000 0.0000 x1

---

Density functional theory data (meta-GGA SCAN) for FeHg2Sb at its PBEsol-relaxed geometry.

Summary:
E ... -47.53 eV per atom
Magnetic moment ... 3.0 Bohr magnetons per cell

Lattice parameters (Å, degrees): 3.2192 5.4679 4.6678 90.00 92.70 90.00
Space group P2/m (No. 10)
Symmetry-distinct sites (fractional):
1 Fe 0.0000 0.0000 0.0000 x1
2 Hg 0.2446 0.5000 0.2451 x2
3 Sb 0.5000 0.0000 0.5000 x1

---

Density functional theory data (meta-GGA SCAN) for YTi2N at its PBEsol-relaxed geometry.

Summary:
E ... -17.90 eV per atom
Magnetic moment ... 0.0 Bohr magnetons per cell

Lattice parameters (Å, degrees): 6.1187 6.1187 8.6447 90.00 90.00 90.00
Space group I-42d (No. 122)
Symmetry-distinct sites (fractional):
1 Y 0.0000 0.0000 0.0000 x4
2 Ti 0.0438 0.2500 0.6250 x8
3 N 0.0000 0.0000 0.5000 x4